# SCAN TaHgSe2, PBEsol geometry
# ρ = 12.0 g/cm³
# total moment = 0.0 μB/cell
# E = -43.288 eV/atom
# energy relative to the elements, uncorrected = 0.4388 eV per atom
data_TaHgSe2
_chemical_formula_sum 'Ta1 Hg1 Se2'
_cell_length_a 4.750
_cell_length_b 4.750
_cell_length_c 3.313
_cell_angle_alpha 90.00
_cell_angle_beta 90.00
_cell_angle_gamma 90.00
_symmetry_space_group_name_H-M 'P 4/m m m'
_symmetry_Int_Tables_number 123
_symmetry_space_group_name_Hall '-P 4 2'
loop_
_atom_site_label
_atom_site_fract_x
_atom_site_fract_y
_atom_site_fract_z
Ta1 0.000 0.000 0.000
Hg1 0.500 0.500 0.000
Se1 0.000 0.500 0.500